Record 1
This record from the Alexandria database describes crystalline LiUCu4 at its relaxed geometry. The functional is PBE.

Cell and atoms, written as POSCAR:
```
LiUCu4
1.0
0.000 3.569 3.569
3.569 0.000 3.569
3.569 3.569 0.000
Li U Cu
1 1 4
Direct
0.000 0.000 0.000 Li
0.250 0.250 0.250 U
0.120 0.627 0.627 Cu
0.627 0.120 0.627 Cu
0.627 0.627 0.120 Cu
0.627 0.627 0.627 Cu
```

Calculated values
Energy of formation from the pure elements = 0.123 eV per atom
Total energy = -4.809 eV/atom
Volume = 91 Å³/cell

Record 2
This record from the Alexandria database describes crystalline TaCoTeI2 at its relaxed geometry. The functional is PBE.

Cell and atoms, written as POSCAR:
```
TaCoTeI2
1.0
4.977 0.000 0.000
0.000 4.977 0.000
0.000 0.000 5.041
Ta Co Te I
1 1 1 2
Direct
0.000 0.000 0.000 Ta
0.500 0.500 0.500 Co
0.500 0.500 0.000 Te
0.000 0.500 0.500 I
0.500 0.000 0.500 I
```

Calculated values
Total energy = -3.940 eV/atom
Volume = 125 Å³/cell

Record 3
This record from the Alexandria database describes crystalline HoAl2GaRh4 at its relaxed geometry. The functional is PBE.

Cell and atoms, written as POSCAR:
```
HoAl2GaRh4
1.0
2.193 1.266 7.319
-2.193 1.266 7.319
0.000 -2.532 7.319
Ho Al Ga Rh
1 2 1 4
Direct
0.000 0.000 0.000 Ho
0.246 0.246 0.246 Al
0.754 0.754 0.754 Al
0.500 0.500 0.500 Ga
0.129 0.129 0.129 Rh
0.385 0.385 0.385 Rh
0.615 0.615 0.615 Rh
0.871 0.871 0.871 Rh
```

Calculated values
Energy of formation from the pure elements = -0.907 eV per atom
Total energy = -6.469 eV/atom
Volume = 122 Å³/cell

Record 4
This record from the Alexandria database describes crystalline Sm8Tm4Zr at its relaxed geometry. The functional is PBE.

Cell and atoms, written as POSCAR:
```
Sm8Tm4Zr
1.0
3.604 2.081 9.334
-3.604 2.081 9.334
0.000 -4.162 9.334
Sm Tm Zr
8 4 1
Direct
0.209 0.746 0.746 Sm
0.214 0.214 0.214 Sm
0.254 0.254 0.791 Sm
0.254 0.791 0.254 Sm
0.746 0.209 0.746 Sm
0.746 0.746 0.209 Sm
0.786 0.786 0.786 Sm
0.791 0.254 0.254 Sm
0.000 0.000 0.000 Tm
0.000 0.500 0.500 Tm
0.500 0.000 0.500 Tm
0.500 0.500 0.000 Tm
0.500 0.500 0.500 Zr
```

Calculated values
Energy of formation from the pure elements = 0.199 eV per atom
Total energy = -4.739 eV/atom
Volume = 420 Å³/cell

Record 5
This record from the Alexandria database describes crystalline BeInCu2 at its relaxed geometry. The functional is PBE.

Cell and atoms, written as POSCAR:
```
BeInCu2
1.0
4.502 -1.599 0.000
4.502 1.599 0.000
-1.855 0.000 3.757
Be In Cu
1 1 2
Direct
0.000 0.000 0.000 Be
0.500 0.500 0.500 In
0.277 0.277 0.779 Cu
0.723 0.723 0.221 Cu
```

Calculated values
Energy of formation from the pure elements = 0.148 eV per atom
Total energy = -3.516 eV/atom
Volume = 54 Å³/cell

Record 6
This record from the Alexandria database describes crystalline Hf8Sb2Ir at its relaxed geometry. The functional is PBE.

Cell and atoms, written as POSCAR:
```
Hf8Sb2Ir
1.0
9.201 -2.380 0.000
9.201 2.380 0.000
-1.742 0.000 5.522
Hf Sb Ir
8 2 1
Direct
0.026 0.026 0.272 Hf
0.232 0.232 0.840 Hf
0.352 0.352 0.454 Hf
0.415 0.415 0.005 Hf
0.585 0.585 0.995 Hf
0.648 0.648 0.546 Hf
0.768 0.768 0.160 Hf
0.974 0.974 0.728 Hf
0.182 0.182 0.274 Sb
0.818 0.818 0.726 Sb
0.500 0.500 0.500 Ir
```

Calculated values
Total energy = -9.064 eV/atom
Volume = 242 Å³/cell

Record 7
This record from the Alexandria database describes crystalline Zn2PPd8 at its relaxed geometry. The functional is PBE.

Cell and atoms, written as POSCAR:
```
Zn2PPd8
1.0
-2.142 3.572 5.448
2.142 -3.572 5.448
2.142 3.572 -5.448
Zn P Pd
2 1 8
Direct
0.200 0.200 0.000 Zn
0.800 0.800 0.000 Zn
0.500 0.500 0.000 P
0.081 0.353 0.728 Pd
0.181 0.000 0.181 Pd
0.365 0.865 0.500 Pd
0.375 0.647 0.728 Pd
0.625 0.353 0.272 Pd
0.635 0.135 0.500 Pd
0.819 0.000 0.819 Pd
0.919 0.647 0.272 Pd
```

Calculated values
Energy of formation from the pure elements = -0.276 eV per atom
Total energy = -4.777 eV/atom
Volume = 167 Å³/cell

Record 8
This record from the Alexandria database describes crystalline GaBiSeN2 at its relaxed geometry. The functional is PBE.

Cell and atoms, written as POSCAR:
```
GaBiSeN2
1.0
4.107 0.000 0.000
0.000 4.107 0.000
0.000 0.000 5.110
Ga Bi Se N
1 1 1 2
Direct
0.000 0.000 0.000 Ga
0.500 0.500 0.500 Bi
0.000 0.000 0.500 Se
0.000 0.500 0.000 N
0.500 0.000 0.000 N
```

Calculated values
Total energy = -4.374 eV/atom
Volume = 86 Å³/cell

Record 9
This record from the Alexandria database describes crystalline Li5ScO4 at its relaxed geometry. The functional is PBE.

Cell and atoms, written as POSCAR:
```
Li5ScO4
1.0
-1.493 3.430 4.872
1.493 -3.430 4.872
1.493 3.430 -4.872
Li Sc O
5 1 4
Direct
0.000 0.000 0.000 Li
0.072 0.843 0.229 Li
0.386 0.157 0.229 Li
0.614 0.843 0.771 Li
0.928 0.157 0.771 Li
0.500 0.500 0.000 Sc
0.207 0.500 0.707 O
0.288 0.288 0.000 O
0.712 0.712 0.000 O
0.793 0.500 0.293 O
```

Calculated values
Total energy = -5.371 eV/atom
Volume = 100 Å³/cell

Record 10
This record from the Alexandria database describes crystalline MgNb2Re2 at its relaxed geometry. The functional is PBE.

Cell and atoms, written as POSCAR:
```
MgNb2Re2
1.0
7.683 0.000 0.000
0.000 7.683 0.000
0.000 0.000 3.070
Mg Nb Re
2 4 4
Direct
0.000 0.000 0.000 Mg
0.500 0.500 0.000 Mg
0.153 0.347 0.500 Nb
0.347 0.847 0.500 Nb
0.653 0.153 0.500 Nb
0.847 0.653 0.500 Nb
0.145 0.645 0.000 Re
0.355 0.145 0.000 Re
0.645 0.855 0.000 Re
0.855 0.355 0.000 Re
```

Calculated values
Energy of formation from the pure elements = 0.219 eV per atom
Total energy = -9.107 eV/atom
Volume = 181 Å³/cell

Record 11
This record from the Alexandria database describes crystalline CoBrCl at its relaxed geometry. The functional is PBE.

Cell and atoms, written as POSCAR:
```
CoBrCl
1.0
0.000 3.157 3.157
3.157 0.000 3.157
3.157 3.157 0.000
Co Br Cl
1 1 1
Direct
0.000 0.000 0.000 Co
0.250 0.250 0.250 Br
0.750 0.750 0.750 Cl
```

Calculated values
Total energy = -3.550 eV/atom
Volume = 63 Å³/cell

Record 12
This record from the Alexandria database describes crystalline TlPbF2 at its relaxed geometry. The functional is PBE.

Cell and atoms, written as POSCAR:
```
TlPbF2
1.0
1.973 1.139 7.849
-1.973 1.139 7.849
0.000 -2.278 7.849
Tl Pb F
1 1 2
Direct
0.000 0.000 0.000 Tl
0.500 0.500 0.500 Pb
0.122 0.122 0.122 F
0.878 0.878 0.878 F
```

Calculated values
Total energy = -4.053 eV/atom
Volume = 106 Å³/cell

Record 13
This record from the Alexandria database describes crystalline Er4TlCd3 at its relaxed geometry. The functional is PBE.

Cell and atoms, written as POSCAR:
```
Er4TlCd3
1.0
3.649 0.000 0.000
0.000 4.861 0.000
0.000 0.000 11.935
Er Tl Cd
4 1 3
Direct
0.000 0.000 0.000 Er
0.000 0.500 0.316 Er
0.500 0.000 0.494 Er
0.500 0.500 0.818 Er
0.000 0.000 0.735 Tl
0.000 0.500 0.578 Cd
0.500 0.000 0.231 Cd
0.500 0.500 0.082 Cd
```

Calculated values
Energy of formation from the pure elements = -0.265 eV per atom
Total energy = -3.185 eV/atom
Volume = 212 Å³/cell

Record 14
This record from the Alexandria database describes crystalline LaSi3P at its relaxed geometry. The functional is PBE.

Cell and atoms, written as POSCAR:
```
LaSi3P
1.0
4.702 0.000 0.000
0.000 4.702 0.000
0.000 0.000 4.702
La Si P
1 3 1
Direct
0.000 0.000 0.000 La
0.000 0.500 0.500 Si
0.500 0.000 0.500 Si
0.500 0.500 0.000 Si
0.500 0.500 0.500 P
```

Calculated values
Total energy = -5.146 eV/atom
Volume = 104 Å³/cell

Record 15
This record from the Alexandria database describes crystalline TaSbP3 at its relaxed geometry. The functional is PBE.

Cell and atoms, written as POSCAR:
```
TaSbP3
1.0
4.840 0.000 0.000
0.000 4.840 0.000
0.000 0.000 4.840
Ta Sb P
1 1 3
Direct
0.000 0.000 0.000 Ta
0.500 0.500 0.500 Sb
0.000 0.000 0.500 P
0.000 0.500 0.000 P
0.500 0.000 0.000 P
```

Calculated values
Total energy = -5.985 eV/atom
Volume = 113 Å³/cell

Record 16
This record from the Alexandria database describes crystalline BeCoH3 at its relaxed geometry. The functional is PBE.

Cell and atoms, written as POSCAR:
```
BeCoH3
1.0
3.500 0.000 0.000
0.000 2.671 0.000
-1.632 0.000 5.865
Be Co H
2 2 6
Direct
0.188 0.250 0.379 Be
0.812 0.750 0.621 Be
0.380 0.250 0.787 Co
0.620 0.750 0.213 Co
0.123 0.750 0.218 H
0.301 0.750 0.948 H
0.325 0.750 0.624 H
0.675 0.250 0.376 H
0.699 0.250 0.052 H
0.877 0.250 0.782 H
```

Calculated values
Total energy = -4.160 eV/atom
Volume = 55 Å³/cell

Record 17
This record from the Alexandria database describes crystalline BeP2IrO at its relaxed geometry. The functional is PBE.

Cell and atoms, written as POSCAR:
```
BeP2IrO
1.0
4.653 0.000 0.000
0.000 4.653 0.000
0.000 0.000 2.884
Be P Ir O
1 2 1 1
Direct
0.000 0.000 0.000 Be
0.000 0.500 0.000 P
0.500 0.000 0.000 P
0.500 0.500 0.500 Ir
0.000 0.000 0.500 O
```

Calculated values
Total energy = -5.647 eV/atom
Volume = 62 Å³/cell

Record 18
This record from the Alexandria database describes crystalline BaZr2FeSi at its relaxed geometry. The functional is PBE.

Cell and atoms, written as POSCAR:
```
BaZr2FeSi
1.0
5.225 0.000 0.000
0.000 5.225 0.000
0.000 0.000 4.317
Ba Zr Fe Si
1 2 1 1
Direct
0.000 0.000 0.000 Ba
0.000 0.500 0.500 Zr
0.500 0.000 0.500 Zr
0.500 0.500 0.000 Fe
0.500 0.500 0.500 Si
```

Calculated values
Total energy = -6.113 eV/atom
Volume = 118 Å³/cell

Record 19
This record from the Alexandria database describes crystalline CsAcVS4 at its relaxed geometry. The functional is PBE.

Cell and atoms, written as POSCAR:
```
CsAcVS4
1.0
6.983 0.000 0.000
0.000 6.764 0.000
-2.824 0.000 9.207
Cs Ac V S
2 2 2 8
Direct
0.222 0.250 0.436 Cs
0.778 0.750 0.564 Cs
0.263 0.250 0.951 Ac
0.737 0.750 0.049 Ac
0.288 0.750 0.175 V
0.712 0.250 0.825 V
0.092 0.750 0.317 S
0.109 0.750 0.943 S
0.498 0.002 0.207 S
0.498 0.498 0.207 S
0.502 0.502 0.793 S
0.502 0.998 0.793 S
0.891 0.250 0.057 S
0.908 0.250 0.683 S
```

Calculated values
Total energy = -5.832 eV/atom
Volume = 435 Å³/cell

Record 20
This record from the Alexandria database describes crystalline TbPm2ThSc4 at its relaxed geometry. The functional is PBE.

Cell and atoms, written as POSCAR:
```
TbPm2ThSc4
1.0
5.023 0.000 0.000
0.000 5.023 0.000
0.000 0.000 9.052
Tb Pm Th Sc
1 2 1 4
Direct
0.000 0.000 0.000 Tb
0.000 0.000 0.500 Pm
0.500 0.500 0.000 Pm
0.500 0.500 0.500 Th
0.000 0.500 0.253 Sc
0.000 0.500 0.747 Sc
0.500 0.000 0.253 Sc
0.500 0.000 0.747 Sc
```

Calculated values
Energy of formation from the pure elements = 0.045 eV per atom
Total energy = -5.814 eV/atom
Volume = 228 Å³/cell

Record 21
This record from the Alexandria database describes crystalline DyPaGe2 at its relaxed geometry. The functional is PBE.

Cell and atoms, written as POSCAR:
```
DyPaGe2
1.0
3.335 0.000 0.000
0.000 3.335 0.000
0.000 0.000 7.935
Dy Pa Ge
1 1 2
Direct
0.000 0.000 0.000 Dy
0.000 0.000 0.500 Pa
0.500 0.500 0.250 Ge
0.500 0.500 0.750 Ge
```

Calculated values
Energy of formation from the pure elements = -0.488 eV per atom
Total energy = -6.321 eV/atom
Volume = 88 Å³/cell

Record 22
This record from the Alexandria database describes crystalline Y3InO at its relaxed geometry. The functional is PBE.

Cell and atoms, written as POSCAR:
```
Y3InO
1.0
6.416 -1.859 0.000
6.416 1.859 0.000
-5.187 0.000 10.701
Y In O
6 2 2
Direct
0.117 0.117 0.448 Y
0.123 0.123 0.969 Y
0.360 0.360 0.287 Y
0.640 0.640 0.713 Y
0.877 0.877 0.031 Y
0.883 0.883 0.552 Y
0.379 0.379 0.775 In
0.621 0.621 0.225 In
0.316 0.316 0.088 O
0.684 0.684 0.912 O
```

Calculated values
Total energy = -6.758 eV/atom
Volume = 255 Å³/cell

Record 23
This record from the Alexandria database describes crystalline Rb2TlGeI5 at its relaxed geometry. The functional is PBE.

Cell and atoms, written as POSCAR:
```
Rb2TlGeI5
1.0
2.351 -10.511 0.000
2.351 10.511 0.000
0.000 0.000 17.181
Rb Tl Ge I
4 2 2 10
Direct
0.079 0.921 0.500 Rb
0.138 0.862 0.155 Rb
0.862 0.138 0.655 Rb
0.921 0.079 0.000 Rb
0.454 0.546 0.307 Tl
0.546 0.454 0.807 Tl
0.232 0.768 0.890 Ge
0.768 0.232 0.390 Ge
0.095 0.905 0.935 I
0.252 0.748 0.511 I
0.290 0.710 0.276 I
0.374 0.626 0.842 I
0.495 0.505 0.621 I
0.505 0.495 0.121 I
0.626 0.374 0.342 I
0.710 0.290 0.776 I
0.748 0.252 0.011 I
0.905 0.095 0.435 I
```

Calculated values
Total energy = -2.728 eV/atom
Volume = 849 Å³/cell

Record 24
This record from the Alexandria database describes crystalline Ca2PRh at its relaxed geometry. The functional is PBE.

Cell and atoms, written as POSCAR:
```
Ca2PRh
1.0
5.729 0.000 0.000
0.000 3.875 0.000
-2.243 0.000 8.127
Ca P Rh
4 2 2
Direct
0.214 0.250 0.430 Ca
0.285 0.750 0.071 Ca
0.715 0.250 0.929 Ca
0.786 0.750 0.570 Ca
0.347 0.750 0.718 P
0.653 0.250 0.282 P
0.156 0.250 0.776 Rh
0.844 0.750 0.224 Rh
```

Calculated values
Energy of formation from the pure elements = -0.817 eV per atom
Total energy = -5.008 eV/atom
Volume = 180 Å³/cell

Record 25
This record from the Alexandria database describes crystalline NaAu3 at its relaxed geometry. The functional is PBE.

Cell and atoms, written as POSCAR:
```
NaAu3
1.0
5.783 0.000 0.000
-2.892 5.008 0.000
0.000 0.000 5.113
Na Au
2 6
Direct
0.333 0.667 0.250 Na
0.667 0.333 0.750 Na
0.166 0.332 0.750 Au
0.166 0.834 0.750 Au
0.332 0.166 0.250 Au
0.668 0.834 0.750 Au
0.834 0.166 0.250 Au
0.834 0.668 0.250 Au
```

Calculated values
Energy of formation from the pure elements = -0.193 eV per atom
Total energy = -2.981 eV/atom
Volume = 148 Å³/cell